Record 1
Below is CaLuFe4 after structural relaxation, with properties calculated at the PBE level.

Cell: 5.0871 5.0871 5.0871 Å, 60.00 60.00 60.00°
Fractional positions:
Fe: 0.6246 0.6246 0.1261
Lu: 0.2500 0.2500 0.2500
Fe: 0.6246 0.1261 0.6246
Fe: 0.6246 0.6246 0.6246
Fe: 0.1261 0.6246 0.6246
Ca: 0.0000 0.0000 0.0000

## Properties
Uncorrected energy: -39.84 eV per cell



Record 2
Below is KLiCaGe after structural relaxation, with properties calculated at the PBE level.

Cell: 5.2102 5.2102 5.2102 Å, 60.00 60.00 60.00°
Fractional positions:
K: 0.5000 0.5000 0.5000
Li: 0.7500 0.7500 0.7500
Ca: 0.2500 0.2500 0.2500
Ge: 0.0000 0.0000 0.0000

## Properties
Uncorrected energy: -10.33 eV per cell



Record 3
Below is FeSb2HI after structural relaxation, with properties calculated at the PBE level.

Cell: 4.3289 4.3289 5.4853 Å, 90.00 90.00 90.00°
Fractional positions:
Fe: 0.5000 0.5000 0.5000
H: 0.0000 0.0000 0.0000
Sb: 0.0000 0.5000 0.0000
I: 0.0000 0.0000 0.5000
Sb: 0.5000 0.0000 0.0000

## Properties
Energy relative to the lowest polymorph listed for this composition: 0.283 eV/atom



Record 4
Below is LiAgBPd2 after structural relaxation, with properties calculated at the PBE level.

Cell: 4.1317 4.1317 4.4437 Å, 90.00 90.00 90.00°
Fractional positions:
Ag: 0.0000 0.0000 0.5000
Pd: 0.5000 0.0000 0.0000
Li: 0.5000 0.5000 0.5000
Pd: 0.0000 0.5000 0.0000
B: 0.0000 0.0000 0.0000

## Properties
Energy relative to the lowest polymorph listed for this composition: 0.000 eV/atom



Record 5
Below is SbH2S after structural relaxation, with properties calculated at the PBE level.

Cell: 4.0664 4.0664 4.0664 Å, 60.00 60.00 60.00°
Fractional positions:
S: 0.0000 0.0000 0.0000
H: 0.7500 0.7500 0.7500
Sb: 0.5000 0.5000 0.5000
H: 0.2500 0.2500 0.2500

## Properties
Energy relative to the lowest polymorph listed for this composition: 0.285 eV/atom



Record 6
Below is Tc2NiOs after structural relaxation, with properties calculated at the PBE level.

Cell: 3.1226 3.1226 5.6375 Å, 90.00 90.00 90.00°
Fractional positions:
Ni: 0.0000 0.0000 0.4997
Tc: 0.0000 0.0000 0.0037
Os: 0.5000 0.5000 0.7250
Tc: 0.5000 0.5000 0.2716

## Properties
Energy relative to the lowest polymorph listed for this composition: 0.281 eV/atom



Record 7
Below is CeDySc after structural relaxation, with properties calculated at the PBE level.

Cell: 3.4167 3.4167 8.3072 Å, 90.00 90.00 120.00°
Fractional positions:
Ce: 0.3333 0.6667 0.6584
Sc: 0.6667 0.3333 0.3373
Dy: 0.0000 0.0000 0.0043

## Properties
Energy relative to the lowest polymorph listed for this composition: 0.000 eV/atom



Record 8
Below is YScTe3 after structural relaxation, with properties calculated at the PBE level.

Cell: 4.2538 7.3154 10.9656 Å, 102.04 90.00 90.00°
Fractional positions:
Te: 0.7500 0.7383 0.5013
Te: 0.7500 0.9609 0.1493
Sc: 0.7500 0.2712 0.0098
Y: 0.7500 0.1314 0.6507
Te: 0.2500 0.2617 0.4987
Te: 0.2500 0.0391 0.8507
Te: 0.2500 0.4710 0.1620
Y: 0.2500 0.8686 0.3493
Sc: 0.2500 0.7288 0.9902
Te: 0.7500 0.5290 0.8380

## Properties
Energy relative to the lowest polymorph listed for this composition: 0.000 eV/atom
Formation energy (no corrections): -1.298 eV/atom



Record 9
Below is LaScCo after structural relaxation, with properties calculated at the PBE level.

Cell: 4.6096 6.7182 10.0110 Å, 98.11 103.31 90.00°
Fractional positions:
Sc: 0.7860 0.3929 0.5720
Co: 0.3410 0.5240 0.6820
Co: 0.3303 0.8602 0.6606
La: 0.9298 0.7252 0.8597
Co: 0.6697 0.1398 0.3394
La: 0.5919 0.7880 0.1838
Sc: 0.7750 0.8828 0.5500
La: 0.4081 0.2120 0.8162
Sc: 0.2140 0.6071 0.4280
La: 0.0702 0.2748 0.1403
Co: 0.6590 0.4760 0.3180
Sc: 0.2250 0.1172 0.4500

## Properties
Energy relative to the lowest polymorph listed for this composition: 0.000 eV/atom



Record 10
Below is Zn3FeRh after structural relaxation, with properties calculated at the PBE level.

Cell: 4.6974 4.6974 4.6974 Å, 90.00 90.00 90.00°
Fractional positions:
Zn: 0.5000 0.0000 0.0000
Fe: 0.5000 0.5000 0.5000
Zn: 0.0000 0.0000 0.5000
Zn: 0.0000 0.5000 0.0000
Rh: 0.0000 0.0000 0.0000

## Properties
Energy relative to the lowest polymorph listed for this composition: 0.000 eV/atom



Record 11
Below is Y8IrPd2 after structural relaxation, with properties calculated at the PBE level.

Cell: 5.0988 6.7696 9.0812 Å, 105.08 106.30 90.00°
Fractional positions:
Y: 0.5894 0.4382 0.1788
Y: 0.9671 0.2072 0.9342
Pd: 0.1879 0.7220 0.3759
Ir: 0.5000 0.0000 0.0000
Pd: 0.8121 0.2780 0.6241
Y: 0.2031 0.3198 0.4061
Y: 0.6645 0.9737 0.3290
Y: 0.3355 0.0263 0.6710
Y: 0.7969 0.6802 0.5939
Y: 0.4106 0.5618 0.8212
Y: 0.0329 0.7928 0.0658

## Properties
Energy relative to the lowest polymorph listed for this composition: 0.000 eV/atom



Record 12
Below is YTl3Sn after structural relaxation, with properties calculated at the PBE level.

Cell: 5.6843 5.6843 5.6843 Å, 90.00 90.00 90.00°
Fractional positions:
Tl: 0.0000 0.5000 0.0000
Tl: 0.5000 0.0000 0.0000
Tl: 0.0000 0.0000 0.5000
Y: 0.5000 0.5000 0.5000
Sn: 0.0000 0.0000 0.0000

## Properties
Energy relative to the lowest polymorph listed for this composition: 0.000 eV/atom